*1*
Material: KSr2La
Method: DFT, PBE
State: optimized geometry

## Properties
* size of the total moment: 0.0 μB/cell
* space group: No. 71

Unit cell a=4.2066 b=7.0374 c=13.6839 alpha=90.00 beta=90.00 gamma=90.00
Element x y z (fractional)
K 0.0000 0.0000 0.0000
K 0.5000 0.5000 0.5000
Sr 0.0000 0.5000 0.2455
Sr 0.0000 0.5000 0.7545
Sr 0.5000 0.0000 0.2545
Sr 0.5000 0.0000 0.7455
La 0.0000 0.0000 0.5000
La 0.5000 0.5000 0.0000

*2*
Material: KSr2La
Method: DFT, PBE
State: optimized geometry

## Properties
* size of the total moment: 0.0 μB/cell
* space group: No. 166

Unit cell a=4.1028 b=4.1028 c=42.2750 alpha=90.00 beta=90.00 gamma=120.00
Element x y z (fractional)
K 0.0000 0.0000 0.0000
K 0.3333 0.6667 0.6667
K 0.6667 0.3333 0.3333
Sr 0.0000 0.0000 0.2426
Sr 0.0000 0.0000 0.7574
Sr 0.3333 0.6667 0.4241
Sr 0.3333 0.6667 0.9092
Sr 0.6667 0.3333 0.0908
Sr 0.6667 0.3333 0.5759
La 0.0000 0.0000 0.5000
La 0.3333 0.6667 0.1667
La 0.6667 0.3333 0.8333

What should be chosen as the most stable of them? Choose *2*.

*1*
Material: KSr2La
Method: DFT, PBE
State: optimized geometry

## Properties
* size of the total moment: 0.0 μB/cell
* space group: No. 35

Unit cell a=4.4023 b=6.6077 c=13.9791 alpha=90.00 beta=90.00 gamma=90.00
Element x y z (fractional)
K 0.0000 0.0000 0.0000
K 0.5000 0.5000 0.0000
Sr 0.0000 0.0000 0.4811
Sr 0.0000 0.5000 0.7288
Sr 0.5000 0.0000 0.7288
Sr 0.5000 0.5000 0.4811
La 0.0000 0.5000 0.2562
La 0.5000 0.0000 0.2562

*2*
Material: KSr2La
Method: DFT, PBE
State: optimized geometry

## Properties
* size of the total moment: 0.0 μB/cell
* space group: No. 8

Unit cell a=14.0855 b=3.9825 c=7.3679 alpha=90.00 beta=97.35 gamma=90.00
Element x y z (fractional)
K 0.0000 0.0000 0.0000
K 0.5000 0.5000 0.0000
Sr 0.0072 0.5000 0.5114
Sr 0.2534 0.5000 0.2471
Sr 0.5072 0.0000 0.5114
Sr 0.7534 0.0000 0.2471
La 0.2497 0.0000 0.7282
La 0.7497 0.5000 0.7282

*3*
Material: KSr2La
Method: DFT, PBE
State: optimized geometry

## Properties
* size of the total moment: 0.0 μB/cell
* space group: No. 44

Unit cell a=4.2188 b=6.8713 c=13.9342 alpha=90.00 beta=90.00 gamma=90.00
Element x y z (fractional)
K 0.0000 0.0000 0.0000
K 0.5000 0.5000 0.5000
Sr 0.0000 0.0000 0.4917
Sr 0.0000 0.5000 0.2492
Sr 0.5000 0.0000 0.7492
Sr 0.5000 0.5000 0.9917
La 0.0000 0.5000 0.7502
La 0.5000 0.0000 0.2502

What should be chosen as the most stable of them? Choose *1*.

*1*
Material: KSr2La
Method: DFT, PBE
State: optimized geometry

## Properties
* size of the total moment: 0.0 μB/cell
* space group: No. 6

Unit cell a=4.0385 b=6.9220 c=7.2610 alpha=90.00 beta=90.40 gamma=90.00
Element x y z (fractional)
K 0.0000 0.0000 0.0000
Sr 0.4904 0.5000 0.8320
Sr 0.4972 0.0000 0.4896
La 0.9895 0.5000 0.3485

*2*
Material: KSr2La
Method: DFT, PBE
State: optimized geometry

## Properties
* size of the total moment: 0.0 μB/cell
* space group: No. 47

Unit cell a=4.3024 b=6.7683 c=6.9548 alpha=90.00 beta=90.00 gamma=90.00
Element x y z (fractional)
K 0.0000 0.0000 0.0000
Sr 0.0000 0.5000 0.5000
Sr 0.5000 0.5000 0.0000
La 0.5000 0.0000 0.5000

*3*
Material: KSr2La
Method: DFT, PBE
State: optimized geometry

## Properties
* size of the total moment: 0.0 μB/cell
* space group: No. 225

Unit cell a=9.2974 b=9.2974 c=9.2974 alpha=90.00 beta=90.00 gamma=90.00
Element x y z (fractional)
K 0.0000 0.0000 0.0000
K 0.0000 0.5000 0.5000
K 0.5000 0.0000 0.5000
K 0.5000 0.5000 0.0000
Sr 0.2500 0.2500 0.2500
Sr 0.2500 0.2500 0.7500
Sr 0.2500 0.7500 0.2500
Sr 0.2500 0.7500 0.7500
Sr 0.7500 0.2500 0.2500
Sr 0.7500 0.2500 0.7500
Sr 0.7500 0.7500 0.2500
Sr 0.7500 0.7500 0.7500
La 0.0000 0.0000 0.5000
La 0.0000 0.5000 0.0000
La 0.5000 0.0000 0.0000
La 0.5000 0.5000 0.5000

What should be chosen as the most stable of them? Choose *1*.

*1*
Material: KSr2La
Method: DFT, PBE
State: optimized geometry

## Properties
* size of the total moment: 0.0 μB/cell
* space group: No. 122

Unit cell a=10.0866 b=10.0866 c=7.8783 alpha=90.00 beta=90.00 gamma=90.00
Element x y z (fractional)
K 0.0000 0.0000 0.0000
K 0.0000 0.5000 0.2500
K 0.5000 0.0000 0.7500
K 0.5000 0.5000 0.5000
Sr 0.2446 0.2500 0.1250
Sr 0.2500 0.7446 0.3750
Sr 0.2500 0.7554 0.8750
Sr 0.2554 0.2500 0.6250
Sr 0.7446 0.7500 0.6250
Sr 0.7500 0.2446 0.8750
Sr 0.7500 0.2554 0.3750
Sr 0.7554 0.7500 0.1250
La 0.0000 0.0000 0.5000
La 0.0000 0.5000 0.7500
La 0.5000 0.0000 0.2500
La 0.5000 0.5000 0.0000

*2*
Material: KSr2La
Method: DFT, PBE
State: optimized geometry

## Properties
* size of the total moment: 0.0 μB/cell
* space group: No. 65

Unit cell a=8.8504 b=11.1453 c=4.1063 alpha=90.00 beta=90.00 gamma=90.00
Element x y z (fractional)
K 0.0000 0.0000 0.0000
K 0.5000 0.5000 0.0000
Sr 0.2500 0.2500 0.5000
Sr 0.2500 0.7500 0.5000
Sr 0.7500 0.2500 0.5000
Sr 0.7500 0.7500 0.5000
La 0.0000 0.5000 0.0000
La 0.5000 0.0000 0.0000

What should be chosen as the most stable of them? Choose *2*.

*1*
Material: KLaTa
Method: DFT, PBE
State: optimized geometry

## Properties
* size of the total moment: 0.0 μB/cell
* space group: No. 44

Unit cell a=3.1321 b=4.7610 c=13.5505 alpha=90.00 beta=90.00 gamma=90.00
Element x y z (fractional)
K 0.0000 0.0000 0.0000
K 0.5000 0.5000 0.5000
La 0.0000 0.0000 0.7229
La 0.5000 0.5000 0.2229
Ta 0.0000 0.0000 0.3036
Ta 0.5000 0.5000 0.8036

*2*
Material: KLaTa
Method: DFT, PBE
State: optimized geometry

## Properties
* size of the total moment: 0.0 μB/cell
* space group: No. 156

Unit cell a=3.3102 b=3.3102 c=9.6687 alpha=90.00 beta=90.00 gamma=120.00
Element x y z (fractional)
K 0.0000 0.0000 0.0000
La 0.6667 0.3333 0.4078
Ta 0.3333 0.6667 0.6726

*3*
Material: KLaTa
Method: DFT, PBE
State: optimized geometry

## Properties
* size of the total moment: 0.0 μB/cell
* space group: No. 107

Unit cell a=3.2131 b=3.2131 c=18.6974 alpha=90.00 beta=90.00 gamma=90.00
Element x y z (fractional)
K 0.0000 0.0000 0.0000
K 0.5000 0.5000 0.5000
La 0.0000 0.0000 0.2897
La 0.5000 0.5000 0.7897
Ta 0.0000 0.0000 0.6678
Ta 0.5000 0.5000 0.1678

What should be chosen as the most stable of them? Choose *3*.

*1*
Material: KLaTa
Method: DFT, PBE
State: optimized geometry

## Properties
* size of the total moment: 0.0 μB/cell
* space group: No. 107

Unit cell a=3.8428 b=3.8428 c=14.2671 alpha=90.00 beta=90.00 gamma=90.00
Element x y z (fractional)
K 0.0000 0.0000 0.0000
K 0.5000 0.5000 0.5000
La 0.0000 0.0000 0.2701
La 0.5000 0.5000 0.7701
Ta 0.0000 0.0000 0.6894
Ta 0.5000 0.5000 0.1894

*2*
Material: KLaTa
Method: DFT, PBE
State: optimized geometry

## Properties
* size of the total moment: 17.0 μB/cell
* space group: No. 216

Unit cell a=7.7844 b=7.7844 c=7.7844 alpha=90.00 beta=90.00 gamma=90.00
Element x y z (fractional)
K 0.0000 0.0000 0.0000
K 0.0000 0.5000 0.5000
K 0.5000 0.0000 0.5000
K 0.5000 0.5000 0.0000
La 0.0000 0.0000 0.5000
La 0.0000 0.5000 0.0000
La 0.5000 0.0000 0.0000
La 0.5000 0.5000 0.5000
Ta 0.2500 0.2500 0.7500
Ta 0.2500 0.7500 0.2500
Ta 0.7500 0.2500 0.2500
Ta 0.7500 0.7500 0.7500

What should be chosen as the most stable of them? Choose *1*.

*1*
Material: K2La2Ta
Method: DFT, PBE
State: optimized geometry

## Properties
* size of the total moment: 2.6 μB/cell
* space group: No. 139

Unit cell a=4.2229 b=4.2229 c=21.0915 alpha=90.00 beta=90.00 gamma=90.00
Element x y z (fractional)
K 0.0000 0.5000 0.2500
K 0.0000 0.5000 0.7500
K 0.5000 0.0000 0.2500
K 0.5000 0.0000 0.7500
La 0.0000 0.0000 0.0776
La 0.0000 0.0000 0.9224
La 0.5000 0.5000 0.4224
La 0.5000 0.5000 0.5776
Ta 0.0000 0.0000 0.5000
Ta 0.5000 0.5000 0.0000

*2*
Material: K2La2Ta
Method: DFT, PBE
State: optimized geometry

## Properties
* size of the total moment: 0.0 μB/cell
* space group: No. 127

Unit cell a=7.7308 b=7.7308 c=7.1852 alpha=90.00 beta=90.00 gamma=90.00
Element x y z (fractional)
K 0.1891 0.3109 0.0000
K 0.3109 0.8109 0.0000
K 0.6891 0.1891 0.0000
K 0.8109 0.6891 0.0000
La 0.1827 0.6827 0.5000
La 0.3173 0.1827 0.5000
La 0.6827 0.8173 0.5000
La 0.8173 0.3173 0.5000
Ta 0.0000 0.0000 0.5000
Ta 0.5000 0.5000 0.5000

What should be chosen as the most stable of them? Choose *2*.

*1*
Material: KLa2YTa
Method: DFT, PBE
State: optimized geometry

## Properties
* size of the total moment: 0.3 μB/cell
* space group: No. 123

Unit cell a=5.3933 b=5.3933 c=5.3324 alpha=90.00 beta=90.00 gamma=90.00
Element x y z (fractional)
K 0.0000 0.0000 0.0000
La 0.0000 0.5000 0.0000
La 0.5000 0.0000 0.0000
Y 0.0000 0.0000 0.5000
Ta 0.5000 0.5000 0.5000

*2*
Material: KLa2YTa
Method: DFT, PBE
State: optimized geometry

## Properties
* size of the total moment: 0.0 μB/cell
* space group: No. 123

Unit cell a=5.6659 b=5.6659 c=6.2606 alpha=90.00 beta=90.00 gamma=90.00
Element x y z (fractional)
K 0.0000 0.0000 0.0000
La 0.0000 0.5000 0.5000
La 0.5000 0.0000 0.5000
Y 0.5000 0.5000 0.0000
Ta 0.0000 0.0000 0.5000

What should be chosen as the most stable of them? Choose *2*.